Record 1
This record from Alexandria describes a PBEsol-optimized structure of MnPNCl2. The functional is meta-GGA SCAN.

Space group   No. 123
Uncorrected energy   -51.424 eV/cell
Formation energy without anion corrections   0.495 eV/atom
Size of the total moment   4.763 μB per cell

a = 3.2051 Å, b = 5.5015 Å, c = 5.5015 Å
α = 90.00°, β = 90.00°, γ = 90.00°
Closest atoms and distances in Å follow each position.
Positions (direct):
Cl 0.0000 0.0000 0.5000  2 N 2.75
N 0.0000 0.0000 0.0000  2 P 1.60
Mn 0.5000 0.5000 0.5000  8 Cl 3.18, 2 Mn 3.21
P 0.5000 0.0000 0.0000  2 N 1.60
Cl 0.0000 0.5000 0.0000  2 N 2.75


Record 2
This record from Alexandria describes a PBEsol-optimized structure of BaCuTc. The functional is meta-GGA SCAN.

Energy of formation from the pure elements   700 meV/atom
Space group   No. 187
Uncorrected energy   -87.709 eV/cell
Size of the total moment   1.859 μB per cell

a = 4.8897 Å, b = 4.1604 Å, c = 4.1604 Å
α = 120.00°, β = 90.00°, γ = 90.00°
Closest atoms and distances in Å follow each position.
Positions (direct):
Tc 0.0000 0.6667 0.3333  3 Cu 2.40
Ba 0.5000 0.0000 0.0000  6 Cu 3.43, 6 Tc 3.43
Cu 0.0000 0.3333 0.6667  3 Tc 2.40